a:
The following is a DFT calculation (PBE) of an optimized crystal structure of Sr2CuRe.

Summary:
* SG: Fm-3m, No. 225

a b c (Å): 5.2975 5.2975 5.2975
angles (deg): 60.00 60.00 60.00
Each line ends with the local moment (μB).
Sites, in units of the cell vectors:
Re 0.5000 0.5000 0.5000  1.80
Sr 0.2500 0.2500 0.2500  0.00
Sr 0.7500 0.7500 0.7500  0.00
Cu 0.0000 0.0000 0.0000  0.00

b:
The following is a DFT calculation (PBE) of an optimized crystal structure of Sr2CuRe.

Summary:
* SG: R-3m, No. 166

a b c (Å): 9.8019 9.8019 9.8019
angles (deg): 20.58 20.58 20.58
Each line ends with the local moment (μB).
Sites, in units of the cell vectors:
Re 0.7500 0.7500 0.7500  0.87
Sr 0.0009 0.0009 0.0009  -0.01
Sr 0.4991 0.4991 0.4991  -0.01
Cu 0.2500 0.2500 0.2500  0.00

c:
The following is a DFT calculation (PBE) of an optimized crystal structure of Sr2CuRe.

Summary:
* SG: C2/m, No. 12

a b c (Å): 3.8386 3.8386 9.3682
angles (deg): 85.32 85.32 46.33
Sites, in units of the cell vectors:
Sr 0.5024 0.5024 0.4976
Sr 0.9976 0.9976 0.0024
Re 0.2500 0.2500 0.2500
Cu 0.7500 0.7500 0.7500

d:
The following is a DFT calculation (PBE) of an optimized crystal structure of Sr2CuRe.

Summary:
* SG: P4mm, No. 99

a b c (Å): 3.4800 3.4800 8.8773
angles (deg): 90.00 90.00 89.97
Sites, in units of the cell vectors:
Cu 0.0000 0.0000 0.5804
Sr 0.5000 0.5000 0.3350
Sr 0.0000 0.0000 0.9177
Re 0.5000 0.5000 0.6669

Energy ordering: d at the bottom, the next structure 0.267 eV/atom above.